Entry 1:
VASP calculation (PBE-GGA) on a geometry-optimized LiSi2Se structure.

Lattice parameters (Å, degrees): 2.803 2.803 9.328 90.00 90.00 99.14
Element x y z (fractional)
Li 0.000 0.000 0.000
Si 0.000 0.000 0.575
Si 0.500 0.500 0.766
Se 0.500 0.500 0.202

Output
SG = Cmm2 (35)
raw formation energy = 0.2 eV/f.u.

---

Entry 2:
VASP calculation (PBE-GGA) on a geometry-optimized AcGeBr structure.

Lattice parameters (Å, degrees): 4.522 4.522 11.814 91.84 91.84 60.09
Element x y z (fractional)
Ac 0.010 0.010 0.180
Ac 0.990 0.990 0.820
Ge 0.334 0.334 0.011
Ge 0.666 0.666 0.989
Br 0.315 0.315 0.661
Br 0.685 0.685 0.339

Output
SG = C2/m (12)
raw formation energy = -3.8 eV/f.u.

---

Entry 3:
VASP calculation (PBE-GGA) on a geometry-optimized Y8Ni structure.

Lattice parameters (Å, degrees): 8.691 8.691 8.691 92.60 92.60 155.41
Element x y z (fractional)
Y 0.000 0.335 0.335
Y 0.000 0.665 0.665
Y 0.335 0.000 0.335
Y 0.356 0.356 0.712
Y 0.356 0.644 0.000
Y 0.644 0.356 0.000
Y 0.644 0.644 0.288
Y 0.665 0.000 0.665
Ni 0.000 0.000 0.000

Output
ΔE_f = 0.55 eV per formula unit
SG = I4/mmm (139)

---

Entry 4:
VASP calculation (PBE-GGA) on a geometry-optimized Hf2SI structure.

Lattice parameters (Å, degrees): 4.800 4.800 4.800 60.00 60.00 60.00
Element x y z (fractional)
Hf 0.250 0.250 0.250
Hf 0.750 0.750 0.750
S 0.000 0.000 0.000
I 0.500 0.500 0.500

Output
SG = Fm-3m (225)
raw formation energy = -1.0 eV/f.u.

---

Entry 5:
VASP calculation (PBE-GGA) on a geometry-optimized DySc2Cu6 structure.

Lattice parameters (Å, degrees): 7.306 7.306 3.249 90.00 90.00 120.00
Element x y z (fractional)
Dy 0.000 0.000 0.000
Sc 0.333 0.667 0.000
Sc 0.667 0.333 0.000
Cu 0.000 0.337 0.500
Cu 0.000 0.663 0.500
Cu 0.337 0.000 0.500
Cu 0.337 0.337 0.500
Cu 0.663 0.000 0.500
Cu 0.663 0.663 0.500

Output
ΔE_f = -1.83 eV per formula unit
SG = P6/mmm (191)

---

Entry 6:
VASP calculation (PBE-GGA) on a geometry-optimized La4Nd15Al structure.

Lattice parameters (Å, degrees): 5.141 5.141 26.048 90.00 90.00 90.00
Element x y z (fractional)
La 0.000 0.000 0.102
La 0.000 0.000 0.305
La 0.000 0.000 0.695
La 0.000 0.000 0.898
Nd 0.000 0.500 0.000
Nd 0.000 0.500 0.204
Nd 0.000 0.500 0.409
Nd 0.000 0.500 0.591
Nd 0.000 0.500 0.796
Nd 0.500 0.000 0.000
Nd 0.500 0.000 0.204
Nd 0.500 0.000 0.409
Nd 0.500 0.000 0.591
Nd 0.500 0.000 0.796
Nd 0.500 0.500 0.102
Nd 0.500 0.500 0.307
Nd 0.500 0.500 0.500
Nd 0.500 0.500 0.693
Nd 0.500 0.500 0.898
Al 0.000 0.000 0.500

Output
ΔE_f = -0.17 eV per formula unit
SG = P4/mmm (123)

---

Number 1: VASP energy -4.0203 eV per atom. Number 2: VASP energy -4.7374 eV per atom. Number 3: VASP energy -6.3275 eV per atom. Number 4: VASP energy -6.6391 eV per atom. Number 5: VASP energy -4.8527 eV per atom. Number 6: VASP energy -4.7569 eV per atom.